Density functional theory data (PBE) for crystalline BaMgSiAu6 at its relaxed geometry.

Cell lengths 8.264, 8.264, 8.264 Å; angles 127.52, 106.77, 95.88 degrees
Atoms (fractional coordinates):
Ba: 0.490 0.240 0.250
Ba: 0.510 0.760 0.750
Mg: 0.000 0.000 0.500
Mg: 0.000 0.500 0.000
Si: 0.000 0.000 0.000
Si: 0.500 0.000 0.500
Au: 0.117 0.416 0.281
Au: 0.117 0.836 0.701
Au: 0.191 0.441 0.750
Au: 0.194 0.944 0.250
Au: 0.365 0.164 0.781
Au: 0.365 0.584 0.201
Au: 0.635 0.416 0.799
Au: 0.635 0.836 0.219
Au: 0.806 0.056 0.750
Au: 0.809 0.559 0.250
Au: 0.883 0.164 0.299
Au: 0.883 0.584 0.719

Formation energy without anion corrections = -0.2733 eV per atom
Magnetic moment = 0.00 μB per formula unit